Density functional theory data (PBE) for MnCuBr2 after structural relaxation.

Properties
As for the raw formation energy: -0.123 eV/atom. For the density of states at the Fermi level, the calculation gives 2.17 states/eV/cell. The value obtained for the uncorrected energy is -4.28 eV/atom.

a b c (Å): 9.340 3.586 6.036
angles (deg): 90.00 94.37 90.00
Space group Cm (No. 8)
Unique sites:
Mn  0.000  0.000  0.000 [2 per cell]
Cu  0.073  0.500  0.722 [2 per cell]
Br  0.053  0.500  0.312 [2 per cell]
Br  0.278  0.000  0.839 [2 per cell]